Record 1
The following is a DFT calculation (GGA-PBE) of an optimized crystal structure of MnZnW2.

The structure belongs to space group P4mm (No. 99); the cell edges are 2.927, 2.927 and 6.726 Å and the angles 90.00°, 90.00° and 90.00°. The asymmetric unit holds Mn at (0.000, 0.000, 0.000), Zn at (0.500, 0.500, 0.771), W at (0.000, 0.000, 0.502) and W at (0.500, 0.500, 0.202).

Its formation energy from the elements is 0.284 eV/atom.



Record 2
The following is a DFT calculation (GGA-PBE) of an optimized crystal structure of Ac2BiAu8.

The structure belongs to space group C2/m (No. 12); the cell edges are 5.832, 18.886 and 5.543 Å and the angles 90.00°, 121.21° and 90.00°. The asymmetric unit holds Ac at (0.000, 0.153, 0.000), Bi at (0.000, 0.000, 0.500), Au at (0.000, 0.246, 0.500), Au at (0.137, 0.373, 0.305) and Au at (0.190, 0.500, 0.816).

Its formation energy from the elements is -0.504 eV/atom.



Record 3
The following is a DFT calculation (GGA-PBE) of an optimized crystal structure of AcScTe2.

The structure belongs to space group R3m (No. 160, hexagonal axes); the cell edges are 4.2945, 4.2945 and 23.5501 Å and the angles 90.00°, 90.00° and 120.00°. The asymmetric unit holds Ac at (0.0000, 0.0000, 0.0000), Sc at (0.0000, 0.0000, 0.8277), Te at (0.0000, 0.0000, 0.2345) and Te at (0.0000, 0.0000, 0.4283).

The relative energy among the computed polymorphs is 0 kJ/mol of formula units.



Record 4
The following is a DFT calculation (GGA-PBE) of an optimized crystal structure of Tc3SbP.

The structure belongs to space group Pm-3m (No. 221); the cell edges are 4.421, 4.421 and 4.421 Å and the angles 90.00°, 90.00° and 90.00°. The asymmetric unit holds Tc at (0.000, 0.000, 0.500), Sb at (0.500, 0.500, 0.500) and P at (0.000, 0.000, 0.000).

The relative energy among the computed polymorphs is 0 kJ/mol of formula units.



Question: Number 3 is which compound?
Answer: AcScTe2